A relaxed structure of Eu2YMg, computed with PBE.

- energy of formation from the pure elements (kJ/mol of atoms) = 4
- space group = No. 123

Cell lengths 3.755, 3.755, 9.798 Å; angles 90.00, 90.00, 90.00 degrees
Last column: magnetic moment on the atom in μB.
Fractional positions:
Eu 0.000 0.000 0.231  6.92
Eu 0.000 0.000 0.769  6.92
Mg 0.500 0.500 0.000  0.00
Y 0.500 0.500 0.500  0.33